(1)
PBE NbAl2Tc, optimized geometry; electronic total energy = -7.115 eV/atom; formation energy = -52.1 kJ/mol of formula units; total magnetic moment = 0.69 μB per formula unit
1.0
0.000 3.143 3.143
3.143 0.000 3.143
3.143 3.143 0.000
Nb Al Tc
1 2 1
Direct
0.000 0.000 0.000 Nb
0.250 0.250 0.250 Al
0.750 0.750 0.750 Al
0.500 0.500 0.500 Tc

(2)
PBE Nb6AlTc, optimized geometry; electronic total energy = -9.527 eV/atom; formation energy = -163.2 kJ/mol of formula units; total magnetic moment = 0.00 μB per formula unit
1.0
3.673 2.121 2.997
-3.673 2.121 2.997
0.000 -4.242 2.997
Nb Al Tc
6 1 1
Direct
0.000 0.499 0.746 Nb
0.000 0.501 0.254 Nb
0.254 0.000 0.501 Nb
0.499 0.746 0.000 Nb
0.501 0.254 0.000 Nb
0.746 0.000 0.499 Nb
0.000 0.000 0.000 Al
0.500 0.500 0.500 Tc

(3)
PBE NbAl2Tc, optimized geometry; electronic total energy = -7.237 eV/atom; formation energy = -99.0 kJ/mol of formula units; total magnetic moment = 0.01 μB per formula unit
1.0
3.029 0.000 0.000
0.000 3.029 0.000
0.000 0.000 6.794
Nb Al Tc
1 2 1
Direct
0.000 0.000 0.000 Nb
0.500 0.500 0.284 Al
0.500 0.500 0.716 Al
0.000 0.000 0.500 Tc

(4)
PBE NbAl2Tc2, optimized geometry; electronic total energy = -7.887 eV/atom; formation energy = -110.6 kJ/mol of formula units; total magnetic moment = 0.00 μB per formula unit
1.0
6.998 0.000 0.000
0.000 6.998 0.000
0.000 0.000 3.116
Nb Al Tc
2 4 4
Direct
0.000 0.000 0.000 Nb
0.500 0.500 0.000 Nb
0.129 0.371 0.000 Al
0.371 0.871 0.000 Al
0.629 0.129 0.000 Al
0.871 0.629 0.000 Al
0.169 0.669 0.500 Tc
0.331 0.169 0.500 Tc
0.669 0.831 0.500 Tc
0.831 0.331 0.500 Tc

(5)
PBE Nb6AlTc2, optimized geometry; electronic total energy = -9.648 eV/atom; formation energy = -187.2 kJ/mol of formula units; total magnetic moment = 0.00 μB per formula unit
1.0
5.131 -1.616 0.000
5.131 1.616 0.000
-3.244 0.000 9.227
Nb Al Tc
6 1 2
Direct
0.001 0.001 0.324 Nb
0.322 0.322 0.111 Nb
0.331 0.331 0.439 Nb
0.669 0.669 0.561 Nb
0.678 0.678 0.889 Nb
0.999 0.999 0.676 Nb
0.000 0.000 0.000 Al
0.337 0.337 0.776 Tc
0.663 0.663 0.224 Tc

(6)
PBE Nb2AlTc, optimized geometry; electronic total energy = -8.762 eV/atom; formation energy = -77.2 kJ/mol of formula units; total magnetic moment = 0.00 μB per formula unit
1.0
4.150 0.000 0.000
0.000 4.150 0.000
0.000 0.000 3.837
Nb Al Tc
2 1 1
Direct
0.000 0.500 0.000 Nb
0.500 0.000 0.000 Nb
0.000 0.000 0.500 Al
0.500 0.500 0.500 Tc

(7)
PBE Ti2NbAlTc, optimized geometry; electronic total energy = -6.792 eV/atom; formation energy = 579.5 kJ/mol of formula units; total magnetic moment = 0.00 μB per formula unit
1.0
4.516 0.000 0.000
0.000 4.516 0.000
0.000 0.000 4.744
Ti Nb Al Tc
2 1 1 1
Direct
0.000 0.500 0.000 Ti
0.500 0.000 0.000 Ti
0.000 0.000 0.500 Nb
0.000 0.000 0.000 Al
0.500 0.500 0.500 Tc

(8)
PBE Ti5NbAl2Tc2, optimized geometry; electronic total energy = -7.924 eV/atom; formation energy = -142.5 kJ/mol of formula units; total magnetic moment = 0.00 μB per formula unit
1.0
9.011 0.000 0.000
0.000 9.011 0.000
0.000 0.000 4.120
Ti Nb Al Tc
10 2 4 4
Direct
0.000 0.500 0.000 Ti
0.085 0.200 0.000 Ti
0.200 0.915 0.000 Ti
0.300 0.415 0.000 Ti
0.415 0.700 0.000 Ti
0.500 0.000 0.000 Ti
0.585 0.300 0.000 Ti
0.700 0.585 0.000 Ti
0.800 0.085 0.000 Ti
0.915 0.800 0.000 Ti
0.000 0.000 0.500 Nb
0.500 0.500 0.500 Nb
0.172 0.672 0.500 Al
0.328 0.172 0.500 Al
0.672 0.828 0.500 Al
0.828 0.328 0.500 Al
0.123 0.377 0.500 Tc
0.377 0.877 0.500 Tc
0.623 0.123 0.500 Tc
0.877 0.623 0.500 Tc

Please write out number 6 again, unchanged.
PBE Nb2AlTc, optimized geometry; electronic total energy = -8.762 eV/atom; formation energy = -77.2 kJ/mol of formula units; total magnetic moment = 0.00 μB per formula unit
1.0
4.150 0.000 0.000
0.000 4.150 0.000
0.000 0.000 3.837
Nb Al Tc
2 1 1
Direct
0.000 0.500 0.000 Nb
0.500 0.000 0.000 Nb
0.000 0.000 0.500 Al
0.500 0.500 0.500 Tc